(1)
4
Lattice="-0.640 -4.836 -4.273 -3.380 -5.148 2.031 -0.884 6.424 -0.066" Properties=species:S:1:pos:R:3 comment="BaLa2Se (PBE-GGA, optimized geometry)" density_g_cm3=6.3 dft_energy_ev_per_atom=-4.236 e_form_raw_ev_per_fu=-1.681 pbc="T T T"
Ba -1.767 -1.702 -2.730
La 0.000 0.000 0.000
La -2.010 -4.992 -1.121
Se -3.137 -1.858 0.422

***

(2)
8
Lattice="-1.463 -1.650 5.896 -1.526 -5.773 -1.994 4.035 -5.476 2.829" Properties=species:S:1:pos:R:3 comment="SiSb2Mo (PBE-GGA, optimized geometry)" density_g_cm3=5.2 dft_energy_ev_per_atom=-5.429 e_form_raw_ev_per_fu=2.784 pbc="T T T"
Sb -0.091 -3.116 4.121
Sb -0.134 -5.190 0.221
Sb 1.899 -6.913 3.578
Sb 0.416 -10.580 5.544
Mo 0.000 0.000 0.000
Mo 0.538 -5.419 5.338
Si -1.495 -3.711 1.951
Si 0.507 -7.480 1.393

***

(3)
12
Lattice="7.565 0.000 -0.094 0.000 3.156 0.000 -1.159 0.000 8.609" Properties=species:S:1:pos:R:3 comment="LiFeSn (PBE-GGA, optimized geometry)" density_g_cm3=5.9 delta_e_f_ev_per_atom=-0.063 dft_energy_ev_per_atom=-4.857 pbc="T T T"
Li 0.185 0.000 7.089
Li 0.765 1.578 2.784
Li 7.199 0.000 0.490
Li 6.619 1.578 4.795
Fe 4.169 0.000 4.948
Fe 4.748 1.578 0.644
Fe 2.947 0.000 7.506
Fe 3.527 1.578 3.201
Sn 5.693 0.000 2.702
Sn 5.114 1.578 7.006
Sn 2.537 0.000 1.096
Sn 1.957 1.578 5.400

***

(4)
8
Lattice="6.623 0.000 0.000 3.312 6.228 0.000 3.312 0.000 6.228" Properties=species:S:1:pos:R:3 comment="K2VTe4Au (PBE-GGA, optimized geometry)" density_g_cm3=5.4 dft_energy_ev_per_atom=-3.887 e_form_raw_ev_per_fu=-3.935 pbc="T T T"
K 3.312 3.114 3.114
K 6.623 3.114 3.114
V 3.312 0.000 0.000
Te 1.847 2.098 0.000
Te 8.088 0.000 4.130
Te 4.776 0.000 2.098
Te 5.159 4.130 0.000
Au 0.000 0.000 0.000

***

(5)
5
Lattice="-0.076 5.449 2.176 -5.762 0.341 -1.058 -1.072 -2.079 5.169" Properties=species:S:1:pos:R:3 comment="NaSnSbTe2 (PBE-GGA, optimized geometry)" density_g_cm3=4.4 de_polymorph_mev_per_atom=0.0 dft_energy_ev_per_atom=-2.962 e_form_raw_ev_per_fu=0.919 pbc="T T T"
Sb -0.536 -1.039 2.585
Te -2.881 0.171 -0.529
Te -0.038 2.725 1.088
Sn 0.000 0.000 0.000
Na -3.455 1.856 3.144

***

(6)
4
Lattice="5.591 0.177 0.214 4.256 3.630 0.214 3.297 1.275 4.839" Properties=species:S:1:pos:R:3 comment="LaCd2Co (PBE-GGA, optimized geometry)" density_g_cm3=7.6 delta_e_f_ev_per_atom=-0.024 dft_energy_ev_per_atom=-3.490 pbc="T T T"
Cd 3.340 1.291 4.619
Cd 9.939 3.843 3.327
Co 6.966 2.693 3.411
La 2.767 1.070 1.381

***

(7)
4
Lattice="-8.860 -0.699 -5.744 -8.324 -4.567 -4.672 -10.168 -2.001 -2.140" Properties=species:S:1:pos:R:3 comment="Sr2TlCr (PBE-GGA, optimized geometry)" density_g_cm3=4.9 delta_e_f_ev_per_atom=0.376 dft_energy_ev_per_atom=-3.462 pbc="T T T"
Cr -20.515 -5.451 -9.417
Sr -0.022 -0.006 -0.010
Sr -13.654 -3.628 -6.268
Tl -6.838 -1.817 -3.139

***

(8)
8
Lattice="-3.658 3.254 -0.946 -3.130 1.359 3.636 3.270 8.397 3.097" Properties=species:S:1:pos:R:3 comment="AcDy2AlAu4 (PBE-GGA, optimized geometry)" density_g_cm3=11.6 delta_e_f_ev_per_atom=-0.740 dft_energy_ev_per_atom=-4.511 pbc="T T T"
Ac 0.000 0.000 0.000
Dy -2.989 9.323 4.201
Dy -0.530 3.686 1.586
Al -1.759 6.505 2.894
Au -0.126 8.530 3.543
Au -4.801 7.077 3.481
Au 1.282 5.932 2.306
Au -3.393 4.480 2.244

***

(9)
16
Lattice="-3.519 -5.699 -0.120 -1.086 -3.419 7.241 -12.427 3.706 1.435" Properties=species:S:1:pos:R:3 comment="Rb2AlBiSe4 (PBE-GGA, optimized geometry)" density_g_cm3=3.9 dft_energy_ev_per_atom=-3.780 e_form_raw_ev_per_fu=-6.745 pbc="T T T"
Rb -8.505 1.296 0.886
Rb -7.440 -3.289 0.430
Rb -13.316 -1.721 4.798
Rb -5.474 -6.540 3.698
Al -7.636 -1.281 4.308
Al -1.759 -2.849 -0.060
Bi -9.395 -4.131 4.248
Bi 0.000 0.000 0.000
Se -3.413 -4.270 5.908
Se -12.170 1.204 2.697
Se -14.974 -4.333 6.970
Se -3.506 -3.425 1.537
Se -7.068 -3.279 5.581
Se -9.652 -1.630 2.986
Se -11.453 -5.210 5.835
Se -5.889 -0.705 2.711

***

(10)
10
Lattice="5.677 0.000 0.000 0.000 5.677 0.000 0.000 0.000 2.941" Properties=species:S:1:pos:R:3 comment="Ni2H2Cl (PBE-GGA, optimized geometry)" density_g_cm3=5.4 de_polymorph_mev_per_atom=353.4 dft_energy_ev_per_atom=-3.517 pbc="T T T"
Ni 0.863 3.702 1.470
Ni 3.702 4.814 1.470
Ni 4.814 1.975 1.470
Ni 1.975 0.863 1.470
H 2.507 5.345 0.000
H 5.345 3.170 0.000
H 3.170 0.331 0.000
H 0.331 2.507 0.000
Cl 0.000 0.000 0.000
Cl 2.838 2.838 0.000

***

(11)
4
Lattice="-1.305 0.503 -3.062 -2.288 -2.142 -1.227 -9.486 5.695 3.128" Properties=species:S:1:pos:R:3 comment="Th2ReBi (PBE-GGA, optimized geometry)" density_g_cm3=12.8 de_polymorph_mev_per_atom=800.3 delta_e_f_ev_per_atom=0.577 dft_energy_ev_per_atom=-7.215 pbc="T T T"
Re 0.000 0.000 0.000
Bi -6.539 2.028 -0.581
Th -7.584 4.263 2.082
Th -5.495 -0.207 -3.243

***

(12)
12
Lattice="5.679 0.000 0.000 0.000 5.594 0.000 0.000 -2.797 5.929" Properties=species:S:1:pos:R:3 comment="TbZnGaNi3 (PBE-GGA, optimized geometry)" density_g_cm3=8.3 delta_e_f_ev_per_atom=-0.220 dft_energy_ev_per_atom=-4.599 pbc="T T T"
Tb 4.259 0.000 3.681
Tb 1.420 2.797 2.248
Zn 1.420 2.797 5.012
Zn 4.259 0.000 0.917
Ga 1.420 0.000 4.235
Ga 4.259 2.797 1.693
Ni 1.420 0.000 1.728
Ni 0.000 1.605 0.000
Ni 2.840 3.988 0.000
Ni 2.840 1.605 0.000
Ni 0.000 3.988 0.000
Ni 4.259 2.797 4.201

***

(13)
4
Lattice="3.213 0.000 0.000 0.000 3.213 0.000 0.000 0.000 9.703" Properties=species:S:1:pos:R:3 comment="Pu2InHg (PBE-GGA, optimized geometry)" density_g_cm3=13.3 delta_e_f_ev_per_atom=-0.155 dft_energy_ev_per_atom=-8.081 pbc="T T T"
In 1.606 1.606 4.852
Hg 1.606 1.606 0.000
Pu 0.000 0.000 7.298
Pu 0.000 0.000 2.405

***

(14)
4
Lattice="3.245 0.000 0.000 0.000 3.245 0.000 0.000 0.000 6.784" Properties=species:S:1:pos:R:3 comment="HfTaTiPd (PBE-GGA, optimized geometry)" density_g_cm3=11.9 delta_e_f_ev_per_atom=-0.329 dft_energy_ev_per_atom=-9.053 pbc="T T T"
Hf 1.623 1.623 4.145
Ta 0.000 0.000 2.330
Ti 1.623 1.623 0.722
Pd 0.000 0.000 5.883

***

(15)
10
Lattice="6.450 0.000 0.000 0.000 6.450 0.000 0.000 0.000 4.288" Properties=species:S:1:pos:R:3 comment="Sc2TcRu2 (PBE-GGA, optimized geometry)" density_g_cm3=7.3 delta_e_f_ev_per_atom=-0.207 dft_energy_ev_per_atom=-8.523 pbc="T T T"
Sc 1.150 4.375 2.144
Sc 4.375 5.300 2.144
Sc 5.300 2.075 2.144
Sc 2.075 1.150 2.144
Ru 2.319 5.545 0.000
Ru 5.545 4.131 0.000
Ru 4.131 0.906 0.000
Ru 0.906 2.319 0.000
Tc 0.000 0.000 0.000
Tc 3.225 3.225 0.000

***

(16)
16
Lattice="7.827 0.000 0.000 0.000 7.839 0.003 -3.914 -3.910 5.537" Properties=species:S:1:pos:R:3 comment="Tb3CeHo4S8 (PBE-GGA, optimized geometry)" density_g_cm3=7.5 dft_energy_ev_per_atom=-6.446 e_form_raw_ev_per_fu=-31.985 pbc="T T T"
Tb 3.914 3.919 0.002
Tb 1.957 1.965 2.770
Tb -1.957 1.965 2.770
Ce 0.000 3.919 0.002
Ho 3.914 0.000 0.000
Ho 1.957 -1.955 2.769
Ho 0.000 0.000 0.000
Ho -1.957 -1.955 2.769
S 1.975 5.919 0.018
S 0.000 3.946 2.812
S 0.000 -0.017 2.754
S 5.852 5.919 0.018
S -1.939 -1.990 5.522
S 3.914 3.946 2.786
S 3.914 -0.017 2.728
S 1.939 -1.990 5.522

***

(17)
12
Lattice="5.950 0.000 0.000 2.975 5.153 0.000 2.975 1.718 6.730" Properties=species:S:1:pos:R:3 comment="TmGa3Rh2 (PBE-GGA, optimized geometry)" density_g_cm3=9.4 delta_e_f_ev_per_atom=-0.555 dft_energy_ev_per_atom=-5.264 pbc="T T T"
Tm 8.925 5.153 4.393
Tm 2.975 1.718 2.337
Ga 4.497 4.274 1.928
Ga 5.950 1.757 1.928
Ga 7.403 4.274 1.928
Ga 5.950 5.113 4.802
Ga 7.403 2.596 4.802
Ga 4.497 2.596 4.802
Rh 0.000 0.000 0.000
Rh 1.488 2.576 0.000
Rh 4.463 2.576 0.000
Rh 2.975 0.000 0.000

***

(18)
16
Lattice="-2.310 -1.278 -1.958 -1.420 -1.715 5.552 -6.194 9.249 1.272" Properties=species:S:1:pos:R:3 comment="CeNb2ReC4 (PBE-GGA, optimized geometry)" density_g_cm3=8.8 delta_e_f_ev_per_atom=-0.211 dft_energy_ev_per_atom=-9.638 pbc="T T T"
Ce -5.171 6.456 1.887
Ce -4.753 -0.200 2.978
Nb -5.244 3.212 4.090
Nb -2.040 -0.897 0.233
Nb -4.680 3.045 0.775
Nb -7.884 7.154 4.633
Re -7.546 4.703 3.074
Re -2.378 1.554 1.791
C -2.069 -0.204 2.574
C -6.160 3.929 1.944
C -7.855 6.460 2.292
C -3.764 2.327 2.922
C -3.097 4.624 0.636
C 0.000 0.000 0.000
C -6.901 4.875 4.960
C -3.023 1.382 -0.094

***

(19)
3
Lattice="-0.028 3.784 -0.550 -3.037 0.514 3.696 4.750 0.145 0.752" Properties=species:S:1:pos:R:3 comment="PmDyCu (PBE-GGA, optimized geometry)" density_g_cm3=8.0 de_polymorph_mev_per_atom=168.4 delta_e_f_ev_per_atom=0.058 dft_energy_ev_per_atom=-4.425 pbc="T T T"
Pm -0.001 0.186 -0.027
Cu 2.144 1.653 1.532
Dy -0.458 2.605 2.392